# RbNaAc2Se4

A relaxed RbNaAc2Se4 crystal (GGA-PBE, the Alexandria database).

CIF file:
```
data_RbNaAc2Se4
_cell_length_a 9.1064
_cell_length_b 9.2824
_cell_length_c 13.0389
_cell_angle_alpha 90.00
_cell_angle_beta 90.00
_cell_angle_gamma 90.00
_space_group_name_H-M_alt 'I m m a'
_space_group_IT_number 74
_space_group_name_Hall '-I 2b 2'
loop_
_atom_site_label
_atom_site_type_symbol
_atom_site_fract_x
_atom_site_fract_y
_atom_site_fract_z
Rb1 Rb 0.2500 0.2500 0.2500
Na1 Na 0.0000 0.0000 0.0000
Ac1 Ac 0.0000 0.0000 0.5000
Ac2 Ac 0.2500 0.2500 0.7500
Se1 Se 0.0000 0.0225 0.7411
Se2 Se 0.2364 0.2500 0.5105
```

Summary:
Density of states at the Fermi level (states/eV/atom): 0.000
Total DFT energy (no corrections) (Ry per atom): -0.3523

# RbNaAc2Te4

A relaxed RbNaAc2Te4 crystal (GGA-PBE, the Alexandria database).

CIF file:
```
data_RbNaAc2Te4
_cell_length_a 9.6587
_cell_length_b 9.8606
_cell_length_c 13.8296
_cell_angle_alpha 90.00
_cell_angle_beta 90.00
_cell_angle_gamma 90.00
_space_group_name_H-M_alt 'I m m a'
_space_group_IT_number 74
_space_group_name_Hall '-I 2b 2'
loop_
_atom_site_label
_atom_site_type_symbol
_atom_site_fract_x
_atom_site_fract_y
_atom_site_fract_z
Rb1 Rb 0.2500 0.2500 0.2500
Na1 Na 0.0000 0.0000 0.0000
Ac1 Ac 0.0000 0.0000 0.5000
Ac2 Ac 0.2500 0.2500 0.7500
Te1 Te 0.0000 0.0189 0.7437
Te2 Te 0.2404 0.2500 0.5088
```

Summary:
Density of states at the Fermi level (states/eV/atom): 0.000
Total DFT energy (no corrections) (Ry per atom): -0.3163

# NaAc8Rh5

A relaxed NaAc8Rh5 crystal (GGA-PBE, the Alexandria database).

CIF file:
```
data_NaAc8Rh5
_cell_length_a 22.4750
_cell_length_b 4.3657
_cell_length_c 10.5236
_cell_angle_alpha 90.00
_cell_angle_beta 103.66
_cell_angle_gamma 90.00
_space_group_name_H-M_alt 'C 1 2/m 1'
_space_group_IT_number 12
loop_
_space_group_symop_operation_xyz
'x,y,z'
'-x,-y,-z'
'-x,y,-z'
'x,-y,z'
'x+1/2,y+1/2,z'
'-x+1/2,-y+1/2,-z'
'-x+1/2,y+1/2,-z'
'x+1/2,-y+1/2,z'
loop_
_atom_site_label
_atom_site_type_symbol
_atom_site_fract_x
_atom_site_fract_y
_atom_site_fract_z
Na1 Na 0.0000 0.0000 0.0000
Ac1 Ac 0.0723 0.0000 0.6588
Ac2 Ac 0.0933 0.5000 0.3410
Ac3 Ac 0.1745 0.5000 0.9929
Ac4 Ac 0.2399 0.5000 0.6597
Rh1 Rh 0.0000 0.5000 0.5000
Rh2 Rh 0.1640 0.0000 0.4984
Rh3 Rh 0.2012 0.0000 0.8230
```

Summary:
Density of states at the Fermi level (states/eV/atom): 0.627
Total DFT energy (no corrections) (Ry per atom): -0.4138
Formation energy from the elements (eV/atom): -0.563

# NaAc6Rh3

A relaxed NaAc6Rh3 crystal (GGA-PBE, the Alexandria database).

CIF file:
```
data_NaAc6Rh3
_cell_length_a 13.2768
_cell_length_b 4.3189
_cell_length_c 13.3200
_cell_angle_alpha 90.00
_cell_angle_beta 102.48
_cell_angle_gamma 90.00
_space_group_name_H-M_alt 'P 1 21/m 1'
_space_group_IT_number 11
loop_
_space_group_symop_operation_xyz
'x,y,z'
'-x,-y,-z'
'-x,y+1/2,-z'
'x,-y+1/2,z'
loop_
_atom_site_label
_atom_site_type_symbol
_atom_site_fract_x
_atom_site_fract_y
_atom_site_fract_z
Na1 Na 0.1390 0.2500 0.0291
Ac1 Ac 0.0310 0.7500 0.7706
Ac2 Ac 0.1345 0.2500 0.5205
Ac3 Ac 0.2561 0.7500 0.3234
Ac4 Ac 0.3035 0.2500 0.7995
Ac5 Ac 0.4018 0.7500 0.0654
Ac6 Ac 0.4562 0.7500 0.6133
Rh1 Rh 0.0445 0.7500 0.3678
Rh2 Rh 0.3469 0.2500 0.4702
Rh3 Rh 0.4492 0.7500 0.8521
```

Summary:
Density of states at the Fermi level (states/eV/atom): 0.747
Total DFT energy (no corrections) (Ry per atom): -0.3869
Formation energy from the elements (eV/atom): -0.461

# NaAc2Rh

A relaxed NaAc2Rh crystal (GGA-PBE, the Alexandria database).

CIF file:
```
data_NaAc2Rh
_cell_length_a 3.7680
_cell_length_b 3.7680
_cell_length_c 9.7637
_cell_angle_alpha 90.00
_cell_angle_beta 90.00
_cell_angle_gamma 90.00
_space_group_name_H-M_alt 'P 4/m m m'
_space_group_IT_number 123
_space_group_name_Hall '-P 4 2'
loop_
_atom_site_label
_atom_site_type_symbol
_atom_site_fract_x
_atom_site_fract_y
_atom_site_fract_z
Na1 Na 0.0000 0.0000 0.0000
Ac1 Ac 0.5000 0.5000 0.3209
Rh1 Rh 0.0000 0.0000 0.5000
```

Summary:
Density of states at the Fermi level (states/eV/atom): 0.834
Total DFT energy (no corrections) (Ry per atom): -0.3290
Formation energy from the elements (eV/atom): -0.254

# NaAc2Rh

A relaxed NaAc2Rh crystal (GGA-PBE, the Alexandria database).

CIF file:
```
data_NaAc2Rh
_cell_length_a 4.3156
_cell_length_b 4.3156
_cell_length_c 29.2022
_cell_angle_alpha 90.00
_cell_angle_beta 90.00
_cell_angle_gamma 120.00
_space_group_name_H-M_alt 'R 3 m'
_space_group_IT_number 160
_space_group_name_Hall 'R 3 -2"'
loop_
_atom_site_label
_atom_site_type_symbol
_atom_site_fract_x
_atom_site_fract_y
_atom_site_fract_z
Na1 Na 0.0000 0.0000 0.0000
Ac1 Ac 0.0000 0.0000 0.5549
Ac2 Ac 0.0000 0.0000 0.7778
Rh1 Rh 0.0000 0.0000 0.1662
```

Summary:
Density of states at the Fermi level (states/eV/atom): 0.633
Total DFT energy (no corrections) (Ry per atom): -0.3397
Formation energy from the elements (eV/atom): -0.400

# NaAc2Rh

A relaxed NaAc2Rh crystal (GGA-PBE, the Alexandria database).

CIF file:
```
data_NaAc2Rh
_cell_length_a 7.4692
_cell_length_b 4.3104
_cell_length_c 10.0958
_cell_angle_alpha 90.00
_cell_angle_beta 103.97
_cell_angle_gamma 90.00
_space_group_name_H-M_alt 'C 1 2 1'
_space_group_IT_number 5
loop_
_space_group_symop_operation_xyz
'x,y,z'
'-x,y,-z'
'x+1/2,y+1/2,z'
'-x+1/2,y+1/2,-z'
loop_
_atom_site_label
_atom_site_type_symbol
_atom_site_fract_x
_atom_site_fract_y
_atom_site_fract_z
Na1 Na 0.0000 0.0000 0.0000
Ac1 Ac 0.2205 0.9981 0.6648
Rh1 Rh 0.0000 0.4979 0.5000
```

Summary:
Density of states at the Fermi level (states/eV/atom): 0.624
Total DFT energy (no corrections) (Ry per atom): -0.3396
Formation energy from the elements (eV/atom): -0.399

# NaAc3Rh8

A relaxed NaAc3Rh8 crystal (GGA-PBE, the Alexandria database).

CIF file:
```
data_NaAc3Rh8
_cell_length_a 5.4864
_cell_length_b 5.4864
_cell_length_c 27.0806
_cell_angle_alpha 90.00
_cell_angle_beta 90.00
_cell_angle_gamma 120.00
_space_group_name_H-M_alt 'R 3 m'
_space_group_IT_number 160
_space_group_name_Hall 'R 3 -2"'
loop_
_atom_site_label
_atom_site_type_symbol
_atom_site_fract_x
_atom_site_fract_y
_atom_site_fract_z
Na1 Na 0.0000 0.0000 0.0000
Ac1 Ac 0.0000 0.0000 0.3657
Ac2 Ac 0.0000 0.0000 0.4951
Ac3 Ac 0.0000 0.0000 0.8794
Rh1 Rh 0.0000 0.0000 0.1842
Rh2 Rh 0.0000 0.0000 0.6845
Rh3 Rh 0.0002 0.5001 0.4339
Rh4 Rh 0.1679 0.3357 0.2681
```

Summary:
Density of states at the Fermi level (states/eV/atom): 0.929
Total DFT energy (no corrections) (Ry per atom): -0.4751
Formation energy from the elements (eV/atom): -0.427

# NaAc3Rh

A relaxed NaAc3Rh crystal (GGA-PBE, the Alexandria database).

CIF file:
```
data_NaAc3Rh
_cell_length_a 5.9083
_cell_length_b 5.9083
_cell_length_c 5.9083
_cell_angle_alpha 90.00
_cell_angle_beta 90.00
_cell_angle_gamma 90.00
_space_group_name_H-M_alt 'P m -3 m'
_space_group_IT_number 221
_space_group_name_Hall '-P 4 2 3'
loop_
_atom_site_label
_atom_site_type_symbol
_atom_site_fract_x
_atom_site_fract_y
_atom_site_fract_z
Na1 Na 0.0000 0.0000 0.0000
Ac1 Ac 0.0000 0.5000 0.5000
Rh1 Rh 0.5000 0.5000 0.5000
```

Summary:
Density of states at the Fermi level (states/eV/atom): 0.825
Total DFT energy (no corrections) (Ry per atom): -0.3272
Formation energy from the elements (eV/atom): -0.252

# NaAc2Rh

A relaxed NaAc2Rh crystal (GGA-PBE, the Alexandria database).

CIF file:
```
data_NaAc2Rh
_cell_length_a 4.2893
_cell_length_b 4.2893
_cell_length_c 32.9902
_cell_angle_alpha 90.00
_cell_angle_beta 90.00
_cell_angle_gamma 120.00
_space_group_name_H-M_alt 'R -3 m'
_space_group_IT_number 166
_space_group_name_Hall '-R 3 2"'
loop_
_atom_site_label
_atom_site_type_symbol
_atom_site_fract_x
_atom_site_fract_y
_atom_site_fract_z
Na1 Na 0.0000 0.0000 0.0000
Ac1 Ac 0.0000 0.0000 0.1179
Rh1 Rh 0.0000 0.0000 0.5000
```

Summary:
Density of states at the Fermi level (states/eV/atom): 0.875
Total DFT energy (no corrections) (Ry per atom): -0.3341
Formation energy from the elements (eV/atom): -0.324

# NaAcRh4

A relaxed NaAcRh4 crystal (GGA-PBE, the Alexandria database).

CIF file:
```
data_NaAcRh4
_cell_length_a 7.6818
_cell_length_b 7.6818
_cell_length_c 7.6818
_cell_angle_alpha 90.00
_cell_angle_beta 90.00
_cell_angle_gamma 90.00
_space_group_name_H-M_alt 'F -4 3 m'
_space_group_IT_number 216
_space_group_name_Hall 'F -4 2 3'
loop_
_atom_site_label
_atom_site_type_symbol
_atom_site_fract_x
_atom_site_fract_y
_atom_site_fract_z
Na1 Na 0.0000 0.0000 0.0000
Ac1 Ac 0.2500 0.2500 0.2500
Rh1 Rh 0.1255 0.1255 0.6255
```

Summary:
Density of states at the Fermi level (states/eV/atom): 1.304
Total DFT energy (no corrections) (Ry per atom): -0.4451
Formation energy from the elements (eV/atom): -0.251

# NaAc2Sb3Rh4

A relaxed NaAc2Sb3Rh4 crystal (GGA-PBE, the Alexandria database).

CIF file:
```
data_NaAc2Sb3Rh4
_cell_length_a 4.4644
_cell_length_b 4.4644
_cell_length_c 11.3428
_cell_angle_alpha 90.00
_cell_angle_beta 90.00
_cell_angle_gamma 90.00
_space_group_name_H-M_alt 'P -4 m 2'
_space_group_IT_number 115
loop_
_space_group_symop_operation_xyz
'x,y,z'
'y,-x,-z'
'-x,-y,z'
'-y,x,-z'
'-x,y,z'
'-y,-x,-z'
'x,-y,z'
'y,x,-z'
loop_
_atom_site_label
_atom_site_type_symbol
_atom_site_fract_x
_atom_site_fract_y
_atom_site_fract_z
Na1 Na 0.0000 0.0000 0.0000
Ac1 Ac 0.0000 0.5000 0.7529
Sb1 Sb 0.0000 0.5000 0.3730
Sb2 Sb 0.5000 0.5000 0.0000
Rh1 Rh 0.0000 0.0000 0.5000
Rh2 Rh 0.0000 0.5000 0.1450
Rh3 Rh 0.5000 0.5000 0.5000
```

Summary:
Density of states at the Fermi level (states/eV/atom): 0.507
Total DFT energy (no corrections) (Ry per atom): -0.4301